HoCoF5 after structural relaxation. Source: the Alexandria database, functional GGA+U.

Summary:
- Size of the total moment: 0.43 μB per atom
- Space-group type: C2/c (15)
- Total energy: -5.9856 eV/atom
- D(E_F): 0.00 states/eV/atom

Unit cell a=5.622 b=5.622 c=7.545 alpha=109.15 beta=109.15 gamma=73.41
Positions (direct):
Ho 0.053 0.947 0.750
Ho 0.947 0.053 0.250
Co 0.500 0.500 0.000
Co 0.500 0.500 0.500
F 0.175 0.805 0.036
F 0.195 0.825 0.464
F 0.233 0.285 0.374
F 0.285 0.233 0.874
F 0.386 0.614 0.750
F 0.614 0.386 0.250
F 0.715 0.767 0.126
F 0.767 0.715 0.626
F 0.805 0.175 0.536
F 0.825 0.195 0.964